# PBE with a Hubbard U AlCo2O4, relaxed
# - Energy above the lowest structure with this stoichiometry: 0 meV per atom
data_AlCo2O4
_chemical_formula_sum 'Al4 Co8 O16'
_cell_length_a 5.8187
_cell_length_b 5.8331
_cell_length_c 8.4321
_cell_angle_alpha 90.00
_cell_angle_beta 90.00
_cell_angle_gamma 90.00
_space_group_name_H-M_alt 'I m m a'
_space_group_IT_number 74
_space_group_name_Hall '-I 2b 2'
loop_
_atom_site_label
_atom_site_type_symbol
_atom_site_fract_x
_atom_site_fract_y
_atom_site_fract_z
Al1 Al 0.2500 0.2500 0.2500
Co1 Co 0.0000 0.0000 0.0000
Co2 Co 0.0000 0.2500 0.6267
O1 O 0.0000 0.0302 0.2423
O2 O 0.2370 0.2500 0.0216